# RbMnH4Cl3O2 PBE+U relaxed
# Total DFT energy (no corrections) ... -103.430 eV per cell
# Space group ... P-1, No. 2
data_RbMnH4Cl3O2
_chemical_formula_sum 'Rb2 Mn2 H8 Cl6 O4'
_symmetry_space_group_name_H-M 'P 1'
_symmetry_Int_Tables_number 1
_cell_length_a 6.3327
_cell_length_b 7.7762
_cell_length_c 8.5805
_cell_angle_alpha 94.07
_cell_angle_beta 101.69
_cell_angle_gamma 102.86
loop_
_symmetry_equiv_pos_as_xyz
'x,y,z'
loop_
_atom_site_label
_atom_site_type_symbol
_atom_site_fract_x
_atom_site_fract_y
_atom_site_fract_z
Rb1 Rb 0.2356 0.9049 0.1561
Rb2 Rb 0.7644 0.0951 0.8439
Mn1 Mn 0.9977 0.3223 0.3276
Mn2 Mn 0.0023 0.6777 0.6724
H1 H 0.5842 0.7272 0.5096
H2 H 0.4158 0.2728 0.4904
H3 H 0.7651 0.8574 0.4422
H4 H 0.2349 0.1426 0.5578
H5 H 0.5854 0.3803 0.1523
H6 H 0.4146 0.6197 0.8477
H7 H 0.7704 0.4909 0.0752
H8 H 0.2296 0.5091 0.9248
Cl1 Cl 0.2135 0.6445 0.4480
Cl2 Cl 0.7865 0.3555 0.5520
Cl3 Cl 0.7790 0.0017 0.2393
Cl4 Cl 0.2210 0.9983 0.7607
Cl5 Cl 0.2240 0.3364 0.1099
Cl6 Cl 0.7760 0.6636 0.8901
O1 O 0.7416 0.7936 0.5360
O2 O 0.2584 0.2064 0.4640
O3 O 0.7423 0.3959 0.1448
O4 O 0.2577 0.6041 0.8552